Th4TlIn3 (PBE, optimized geometry); volume = 234 Å³ per cell; E = -5.2330 eV/atom; theoretical density = 10.5 g/cm3
1.0
-0.804 -0.357 4.082
-1.375 -3.895 -0.612
12.419 -4.704 2.033
In Th Tl
3 4 1
direct
0.500 0.500 0.252 In
0.500 0.500 0.748 In
0.500 0.500 0.500 In
0.000 0.000 0.625 Th
0.000 0.000 0.873 Th
0.000 0.000 0.375 Th
0.000 0.000 0.127 Th
0.500 0.500 0.000 Tl

***

ThTlIn (PBE, optimized geometry); volume = 84 Å³ per cell; energy relative to the lowest polymorph listed for this composition = 0.001 eV per atom; E = -4.3070 eV/atom; theoretical density = 10.8 g/cm3
1.0
3.734 0.000 0.000
0.000 5.108 0.000
0.000 -2.554 4.424
Th In Tl
1 1 1
direct
0.657 0.667 0.333 Th
0.078 0.000 0.000 In
0.265 0.333 0.667 Tl

***

ThTlIn (PBE, optimized geometry); volume = 172 Å³ per cell; energy relative to the lowest polymorph listed for this composition = 0.030 eV per atom; E = -4.2780 eV/atom; theoretical density = 10.7 g/cm3
1.0
5.457 0.000 -2.295
0.000 6.542 0.000
-1.011 0.000 5.232
Th Tl In
2 2 2
direct
0.336 0.250 0.173 Th
0.664 0.750 0.827 Th
0.691 0.250 0.882 Tl
0.309 0.750 0.118 Tl
0.000 0.000 0.500 In
0.000 0.500 0.500 In